(a)
A geometry-optimized Nb2Si2Sb structure, computed with PBE-GGA.

Geometry as extended XYZ:
```
5
Lattice="-3.013 1.829 0.251 0.034 -0.425 3.507 2.221 6.718 2.573" Properties=species:S:1:pos:R:3 pbc="T T T"
Sb 0.000 0.000 0.000
Nb -0.676 2.020 2.031
Nb -0.082 6.101 4.300
Si -1.140 4.624 2.352
Si 0.383 3.497 3.980
```

Values from the calculation:
total moment: 0.00 μB/cell


(b)
A geometry-optimized Nb2Si2Sb structure, computed with PBE-GGA.

Geometry as extended XYZ:
```
10
Lattice="7.053 0.000 0.000 0.000 7.053 0.000 0.000 0.000 3.445" Properties=species:S:1:pos:R:3 pbc="T T T"
Sb 0.000 0.000 0.000
Sb 3.527 3.527 0.000
Nb 1.217 4.744 1.722
Nb 4.744 5.836 1.722
Nb 5.836 2.309 1.722
Nb 2.309 1.217 1.722
Si 2.676 6.203 0.000
Si 6.203 4.377 0.000
Si 4.377 0.851 0.000
Si 0.851 2.676 0.000
```

Values from the calculation:
total moment: 0.00 μB/cell


Name the most stable of them. (a).


(a)
A geometry-optimized NbSiSb2Te structure, computed with PBE-GGA.

Geometry as extended XYZ:
```
5
Lattice="-4.792 -1.088 -1.402 1.680 -1.479 -4.593 0.579 -4.831 1.768" Properties=species:S:1:pos:R:3 pbc="T T T"
Sb 0.840 -0.740 -2.297
Sb -2.396 -0.544 -0.701
Nb -1.266 -3.699 -2.114
Te 0.290 -2.415 0.884
Si 0.000 0.000 0.000
```

Values from the calculation:
total moment: 2.52 μB/cell


(b)
A geometry-optimized NbSiSb2Te structure, computed with PBE-GGA.

Geometry as extended XYZ:
```
5
Lattice="5.395 0.000 0.000 0.000 5.395 0.000 0.000 0.000 5.306" Properties=species:S:1:pos:R:3 pbc="T T T"
Sb 0.000 2.698 0.000
Sb 2.698 0.000 0.000
Nb 0.000 0.000 0.000
Te 0.000 0.000 2.653
Si 2.698 2.698 2.653
```

Values from the calculation:
total moment: 0.81 μB/cell


Name the most stable of them. (b).


(a)
A geometry-optimized Nb2SnSb structure, computed with PBE-GGA.

Geometry as extended XYZ:
```
4
Lattice="4.308 -1.021 -1.943 3.041 -2.979 2.293 0.865 -4.411 -1.781" Properties=species:S:1:pos:R:3 pbc="T T T"
Sb 4.107 -4.205 -0.715
Nb 2.054 -2.103 -0.358
Nb 6.161 -6.308 -1.073
Sn 0.000 0.000 0.000
```

Values from the calculation:
total moment: 0.00 μB/cell


(b)
A geometry-optimized Nb2SnSb structure, computed with PBE-GGA.

Geometry as extended XYZ:
```
8
Lattice="6.381 0.000 0.000 0.000 6.381 0.000 3.191 3.191 6.290" Properties=species:S:1:pos:R:3 pbc="T T T"
Sb 0.000 0.000 0.000
Sb 6.381 3.191 3.145
Nb 4.793 1.595 1.573
Nb 1.588 4.786 1.573
Nb 4.786 4.778 4.718
Nb 7.976 7.984 4.718
Sn 3.191 3.191 0.000
Sn 3.191 6.381 3.145
```

Values from the calculation:
total moment: 4.72 μB/cell


(c)
A geometry-optimized Nb2SnSb structure, computed with PBE-GGA.

Geometry as extended XYZ:
```
4
Lattice="-0.191 -2.400 2.069 -1.307 -2.756 -0.881 8.571 -5.053 -2.634" Properties=species:S:1:pos:R:3 pbc="T T T"
Sb 3.536 -5.104 -0.723
Nb 6.078 -4.136 -1.801
Nb 0.995 -6.072 0.355
Sn 0.000 0.000 0.000
```

Values from the calculation:
total moment: 0.00 μB/cell


Name the most stable of them. (a).


(a)
A geometry-optimized Nb3SnSb structure, computed with PBE-GGA.

Geometry as extended XYZ:
```
5
Lattice="-1.440 -4.812 0.452 4.086 -1.464 -2.568 2.582 -0.367 4.316" Properties=species:S:1:pos:R:3 pbc="T T T"
Sb 0.000 0.000 0.000
Nb 2.043 -0.732 -1.284
Nb 1.291 -0.183 2.158
Nb -0.720 -2.406 0.226
Sn 2.614 -3.321 1.100
```

Values from the calculation:
total moment: 0.00 μB/cell


(b)
A geometry-optimized Nb3SnSb structure, computed with PBE-GGA.

Geometry as extended XYZ:
```
20
Lattice="7.492 0.091 0.072 1.759 7.541 -0.535 1.759 1.252 7.456" Properties=species:S:1:pos:R:3 pbc="T T T"
Nb 6.085 5.564 0.165
Nb 8.670 7.462 1.659
Nb 4.924 3.320 6.827
Nb 2.339 1.423 5.333
Nb 9.616 3.686 7.352
Nb 5.139 0.918 5.173
Nb 1.393 5.199 -0.359
Nb 5.870 7.966 1.819
Nb 5.184 6.267 5.272
Nb 2.079 2.242 2.104
Nb 5.825 2.617 1.721
Nb 8.930 6.642 4.889
Sn 3.632 7.278 -0.153
Sn 7.378 1.606 7.146
Sn 3.632 3.786 4.284
Sn 7.378 5.099 2.709
Sb 7.337 4.565 5.958
Sb 7.418 2.066 3.991
Sb 3.672 4.319 1.035
Sb 3.591 6.818 3.001
```

Values from the calculation:
total moment: 0.00 μB/cell


Name the most stable of them. (b).